Entry 1:
## Sr2PaRuO6 (PBE)

Data for a relaxed Sr2PaRuO6 crystal.

Formation energy without anion corrections: -2.555 eV/atom
SG: No. 123
Electronic total energy: -77.433 eV per formula unit
Total moment: 1.201 μB/cell

```
Sr2PaRuO6
1.0
4.231 0.000 0.000
0.000 4.231 0.000
0.000 0.000 8.477
Sr Pa Ru O
2 1 1 6
Direct
0.000 0.000 0.198
0.000 0.000 0.802
0.500 0.500 0.500
0.500 0.500 0.000
0.000 0.500 0.000
0.000 0.500 0.500
0.500 0.000 0.000
0.500 0.000 0.500
0.500 0.500 0.244
0.500 0.500 0.756
```


Entry 2:
## Sr2PaRuO8 (PBE)

Data for a relaxed Sr2PaRuO8 crystal.

Formation energy without anion corrections: -2.246 eV/atom
SG: No. 10
Electronic total energy: -88.754 eV per formula unit
Total moment: 0.490 μB/cell

```
Sr2PaRuO8
1.0
5.311 0.000 0.000
0.000 6.816 0.000
-0.130 0.000 5.330
Sr Pa Ru O
2 1 1 8
Direct
0.000 0.244 0.000
0.000 0.756 0.000
0.500 0.500 0.500
0.500 0.000 0.500
0.228 0.500 0.226
0.257 0.000 0.255
0.329 0.222 0.669
0.329 0.778 0.669
0.671 0.222 0.331
0.671 0.778 0.331
0.743 0.000 0.745
0.772 0.500 0.774
```


Entry 3:
## PaTcRuO6 (PBE)

Data for a relaxed PaTcRuO6 crystal.

Formation energy without anion corrections: -1.894 eV/atom
SG: No. 163
Electronic total energy: -75.931 eV per formula unit
Total moment: 1.864 μB/cell

```
PaTcRuO6
1.0
5.360 0.000 0.000
-2.680 4.642 0.000
0.000 0.000 8.784
Pa Tc Ru O
2 2 2 12
Direct
0.333 0.667 0.250
0.667 0.333 0.750
0.333 0.667 0.750
0.667 0.333 0.250
0.000 0.000 0.000
0.000 0.000 0.500
0.025 0.340 0.624
0.025 0.685 0.876
0.315 0.340 0.876
0.315 0.975 0.624
0.340 0.025 0.124
0.340 0.315 0.376
0.660 0.685 0.624
0.660 0.975 0.876
0.685 0.025 0.376
0.685 0.660 0.124
0.975 0.315 0.124
0.975 0.660 0.376
```


Entry 4:
## PaTiRuO6 (PBE)

Data for a relaxed PaTiRuO6 crystal.

Formation energy without anion corrections: -2.538 eV/atom
SG: No. 102
Electronic total energy: -79.256 eV per formula unit
Total moment: 2.012 μB/cell

```
PaTiRuO6
1.0
4.842 0.000 0.000
0.000 4.842 0.000
0.000 0.000 9.526
Pa Ti Ru O
2 2 2 12
Direct
0.000 0.000 0.000
0.500 0.500 0.500
0.000 0.000 0.661
0.500 0.500 0.161
0.000 0.000 0.323
0.500 0.500 0.823
0.183 0.183 0.497
0.199 0.199 0.814
0.212 0.212 0.171
0.288 0.712 0.671
0.301 0.699 0.314
0.317 0.683 0.997
0.683 0.317 0.997
0.699 0.301 0.314
0.712 0.288 0.671
0.788 0.788 0.171
0.801 0.801 0.814
0.817 0.817 0.497
```


Entry 5:
## PaTl2Ru3O12 (PBE)

Data for a relaxed PaTl2Ru3O12 crystal.

Formation energy without anion corrections: -1.316 eV/atom
SG: No. 166
Electronic total energy: -125.236 eV per formula unit
Total moment: 0.000 μB/cell

```
PaTl2Ru3O12
1.0
3.623 2.092 6.352
-3.623 2.092 6.352
0.000 -4.184 6.352
Pa Tl Ru O
1 2 3 12
Direct
0.000 0.000 0.000
0.341 0.341 0.341
0.659 0.659 0.659
0.000 0.000 0.500
0.000 0.500 0.000
0.500 0.000 0.000
0.073 0.699 0.699
0.080 0.080 0.649
0.080 0.649 0.080
0.301 0.301 0.927
0.301 0.927 0.301
0.351 0.920 0.920
0.649 0.080 0.080
0.699 0.073 0.699
0.699 0.699 0.073
0.920 0.351 0.920
0.920 0.920 0.351
0.927 0.301 0.301
```


Entry 6:
## PaTl4Ru3O12 (PBE)

Data for a relaxed PaTl4Ru3O12 crystal.

Formation energy without anion corrections: -1.195 eV/atom
SG: No. 229
Electronic total energy: -130.185 eV per formula unit
Total moment: 0.959 μB/cell

```
PaTl4Ru3O12
1.0
-4.087 4.087 4.087
4.087 -4.087 4.087
4.087 4.087 -4.087
Pa Tl Ru O
1 4 3 12
Direct
0.000 0.000 0.000
0.000 0.000 0.500
0.000 0.500 0.000
0.500 0.000 0.000
0.500 0.500 0.500
0.000 0.500 0.500
0.500 0.000 0.500
0.500 0.500 0.000
0.000 0.263 0.263
0.000 0.737 0.737
0.250 0.500 0.750
0.250 0.750 0.500
0.263 0.000 0.263
0.263 0.263 0.000
0.500 0.250 0.750
0.500 0.750 0.250
0.737 0.000 0.737
0.737 0.737 0.000
0.750 0.250 0.500
0.750 0.500 0.250
```


Entry 7:
## PaTlRu2O8 (PBE)

Data for a relaxed PaTlRu2O8 crystal.

Formation energy without anion corrections: -1.461 eV/atom
SG: No. 164
Electronic total energy: -87.617 eV per formula unit
Total moment: 1.860 μB/cell

```
PaTlRu2O8
1.0
5.928 0.000 0.000
-2.964 5.134 0.000
0.000 0.000 7.862
Pa Tl Ru O
1 1 2 8
Direct
0.000 0.000 0.000
0.000 0.000 0.500
0.333 0.667 0.734
0.667 0.333 0.266
0.169 0.338 0.835
0.169 0.831 0.835
0.333 0.667 0.513
0.338 0.169 0.165
0.662 0.831 0.835
0.667 0.333 0.487
0.831 0.169 0.165
0.831 0.662 0.165
```


Entry 8:
## Pa3Tl2RuO12 (PBE)

Data for a relaxed Pa3Tl2RuO12 crystal.

Formation energy without anion corrections: -2.301 eV/atom
SG: No. 166
Electronic total energy: -143.411 eV per formula unit
Total moment: 1.053 μB/cell

```
Pa3Tl2RuO12
1.0
4.004 2.312 6.317
-4.004 2.312 6.317
0.000 -4.623 6.317
Pa Tl Ru O
3 2 1 12
Direct
0.000 0.500 0.500
0.500 0.000 0.500
0.500 0.500 0.000
0.098 0.098 0.098
0.902 0.902 0.902
0.500 0.500 0.500
0.176 0.176 0.569
0.176 0.569 0.176
0.218 0.555 0.555
0.431 0.824 0.824
0.445 0.445 0.782
0.445 0.782 0.445
0.555 0.218 0.555
0.555 0.555 0.218
0.569 0.176 0.176
0.782 0.445 0.445
0.824 0.431 0.824
0.824 0.824 0.431
```


> Among the records above, which one has the lowest formation energy without anion corrections?

Sr2PaRuO6


> The lowest electronic total energy belongs to which entry?

Pa3Tl2RuO12


> Which value of total moment does entry 7 give?

1.860 μB/cell